Entry 1:
## Zr2TaRe (PBE)

Data for a geometry-optimized Zr2TaRe structure.

```
data_Zr2TaRe
_chemical_formula_sum 'Zr2 Ta1 Re1'
_space_group_name_H-M_alt 'P 1'
_space_group_IT_number 1
_cell_length_a 5.632
_cell_length_b 5.632
_cell_length_c 5.632
_cell_angle_alpha 145.80
_cell_angle_beta 129.91
_cell_angle_gamma 62.05
loop_
_space_group_symop_operation_xyz
'x,y,z'
loop_
_atom_site_label
_atom_site_type_symbol
_atom_site_fract_x
_atom_site_fract_y
_atom_site_fract_z
Zr1 Zr 0.233 0.233 0.000
Zr2 Zr 0.767 0.767 0.000
Ta1 Ta 0.500 0.000 0.500
Re1 Re 0.000 0.500 0.500
```

**DOS at the Fermi energy**: 1.153 states/eV per atom
**ΔE_f**: -0.065 eV per atom
**Final energy**: -10.415 eV/atom
**Energy above the lowest structure with this stoichiometry**: 0.27 eV/f.u.

Entry 2:
## Ca8Ir2Pt (PBE)

Data for a geometry-optimized Ca8Ir2Pt structure.

```
data_Ca8Ir2Pt
_chemical_formula_sum 'Ca8 Ir2 Pt1'
_space_group_name_H-M_alt 'P 1'
_space_group_IT_number 1
_cell_length_a 7.778
_cell_length_b 7.778
_cell_length_c 5.954
_cell_angle_alpha 99.82
_cell_angle_beta 99.82
_cell_angle_gamma 111.47
loop_
_space_group_symop_operation_xyz
'x,y,z'
loop_
_atom_site_label
_atom_site_type_symbol
_atom_site_fract_x
_atom_site_fract_y
_atom_site_fract_z
Ca1 Ca 0.000 0.000 0.000
Ca2 Ca 0.031 0.297 0.624
Ca3 Ca 0.149 0.594 0.207
Ca4 Ca 0.297 0.031 0.624
Ca5 Ca 0.433 0.702 0.808
Ca6 Ca 0.594 0.149 0.207
Ca7 Ca 0.702 0.433 0.808
Ca8 Ca 0.728 0.728 0.397
Ir1 Ir 0.045 0.676 0.697
Ir2 Ir 0.676 0.045 0.697
Pt1 Pt 0.371 0.371 0.031
```

**DOS at the Fermi energy**: 0.589 states/eV per atom
**ΔE_f**: -0.381 eV per atom
**Final energy**: -3.997 eV/atom

Entry 3:
## AcSm5Au6 (PBE)

Data for a geometry-optimized AcSm5Au6 structure.

```
data_AcSm5Au6
_chemical_formula_sum 'Ac1 Sm5 Au6'
_space_group_name_H-M_alt 'P 1'
_space_group_IT_number 1
_cell_length_a 5.258
_cell_length_b 7.390
_cell_length_c 8.341
_cell_angle_alpha 90.00
_cell_angle_beta 108.01
_cell_angle_gamma 90.00
loop_
_space_group_symop_operation_xyz
'x,y,z'
loop_
_atom_site_label
_atom_site_type_symbol
_atom_site_fract_x
_atom_site_fract_y
_atom_site_fract_z
Ac1 Ac 0.000 0.000 0.000
Sm1 Sm 0.000 0.500 0.000
Sm2 Sm 0.331 0.000 0.663
Sm3 Sm 0.333 0.500 0.668
Sm4 Sm 0.667 0.500 0.332
Sm5 Sm 0.669 0.000 0.337
Au1 Au 0.174 0.256 0.346
Au2 Au 0.174 0.744 0.346
Au3 Au 0.500 0.267 0.000
Au4 Au 0.500 0.733 0.000
Au5 Au 0.826 0.256 0.654
Au6 Au 0.826 0.744 0.654
```

**DOS at the Fermi energy**: 0.614 states/eV per atom
**ΔE_f**: -0.781 eV per atom
**Final energy**: -4.729 eV/atom